LuBiMo2 | PBE | relaxed Values from VASP.

* total magnetic moment: 0.07 μB/atom
* energy: -0.52551 Ry per atom

Structure (Quantum ESPRESSO input):
```
&SYSTEM
  ibrav = 0, nat = 4, ntyp = 3
/
ATOMIC_SPECIES
Lu 174.97 Lu.upf
Bi 208.98 Bi.upf
Mo 95.94 Mo.upf
CELL_PARAMETERS angstrom
0.0000 3.4210 3.4210
3.4210 0.0000 3.4210
3.4210 3.4210 0.0000
ATOMIC_POSITIONS angstrom
Lu 0.0000 0.0000 0.0000
Bi 5.1315 5.1315 5.1315
Mo 1.7105 1.7105 1.7105
Mo 3.4210 3.4210 3.4210
```